No. 1
YLuThPa | GGA-PBE | relaxed

Properties
Total magnetic moment in μB/cell: 7.404
D(E_F) in states/eV/f.u.: 11.6
ΔH_f (0 K) in eV per atom: 0.35

Cell and atoms, written as CIF:
```
data_YLuThPa
_chemical_formula_sum 'Y4 Lu4 Th4 Pa4'
_cell_length_a 7.8293
_cell_length_b 7.8293
_cell_length_c 7.8293
_cell_angle_alpha 90.00
_cell_angle_beta 90.00
_cell_angle_gamma 90.00
_space_group_name_H-M_alt 'F -4 3 m'
_space_group_IT_number 216
_space_group_name_Hall 'F -4 2 3'
loop_
_atom_site_label
_atom_site_fract_x
_atom_site_fract_y
_atom_site_fract_z
Y1 0.0000 0.0000 0.0000
Lu1 0.2500 0.2500 0.2500
Th1 0.0000 0.0000 0.5000
Pa1 0.2500 0.2500 0.7500
```


No. 2
LuPa2Ti | GGA-PBE | relaxed

Properties
Total magnetic moment in μB/cell: 0.000
D(E_F) in states/eV/f.u.: 8.7
ΔH_f (0 K) in eV per atom: 0.19

Cell and atoms, written as CIF:
```
data_LuPa2Ti
_chemical_formula_sum 'Lu1 Pa2 Ti1'
_cell_length_a 3.1183
_cell_length_b 3.1183
_cell_length_c 9.7979
_cell_angle_alpha 90.00
_cell_angle_beta 90.00
_cell_angle_gamma 90.00
_space_group_name_H-M_alt 'P 4/m m m'
_space_group_IT_number 123
_space_group_name_Hall '-P 4 2'
loop_
_atom_site_label
_atom_site_fract_x
_atom_site_fract_y
_atom_site_fract_z
Lu1 0.0000 0.0000 0.0000
Pa1 0.5000 0.5000 0.2708
Ti1 0.0000 0.0000 0.5000
```


No. 3
LuPaTl | GGA-PBE | relaxed

Properties
Total magnetic moment in μB/cell: 0.007
Relative energy among the computed polymorphs in eV/f.u.: 0.000
D(E_F) in states/eV/f.u.: 5.4
ΔH_f (0 K) in eV per atom: 0.06

Cell and atoms, written as CIF:
```
data_LuPaTl
_chemical_formula_sum 'Lu2 Pa2 Tl2'
_cell_length_a 3.2568
_cell_length_b 3.2568
_cell_length_c 14.9166
_cell_angle_alpha 90.00
_cell_angle_beta 90.00
_cell_angle_gamma 90.00
_space_group_name_H-M_alt 'I 4 m m'
_space_group_IT_number 107
_space_group_name_Hall 'I 4 -2'
loop_
_atom_site_label
_atom_site_fract_x
_atom_site_fract_y
_atom_site_fract_z
Lu1 0.0000 0.0000 0.0000
Pa1 0.0000 0.0000 0.6679
Tl1 0.0000 0.0000 0.3372
```


No. 4
LuPaTl2 | GGA-PBE | relaxed

Properties
Total magnetic moment in μB/cell: 4.898
Relative energy among the computed polymorphs in eV/f.u.: 0.369
D(E_F) in states/eV/f.u.: 8.9
ΔH_f (0 K) in eV per atom: 0.09

Cell and atoms, written as CIF:
```
data_LuPaTl2
_chemical_formula_sum 'Lu4 Pa4 Tl8'
_cell_length_a 7.5424
_cell_length_b 7.5424
_cell_length_c 7.5424
_cell_angle_alpha 90.00
_cell_angle_beta 90.00
_cell_angle_gamma 90.00
_space_group_name_H-M_alt 'F m -3 m'
_space_group_IT_number 225
_space_group_name_Hall '-F 4 2 3'
loop_
_atom_site_label
_atom_site_fract_x
_atom_site_fract_y
_atom_site_fract_z
Lu1 0.0000 0.0000 0.0000
Pa1 0.0000 0.0000 0.5000
Tl1 0.2500 0.2500 0.2500
```


No. 5
LuPaTl2 | GGA-PBE | relaxed

Properties
Total magnetic moment in μB/cell: 1.836
Relative energy among the computed polymorphs in eV/f.u.: 0.238
D(E_F) in states/eV/f.u.: 6.5
ΔH_f (0 K) in eV per atom: 0.06

Cell and atoms, written as CIF:
```
data_LuPaTl2
_chemical_formula_sum 'Lu1 Pa1 Tl2'
_cell_length_a 4.8628
_cell_length_b 4.8628
_cell_length_c 4.5053
_cell_angle_alpha 90.00
_cell_angle_beta 90.00
_cell_angle_gamma 90.00
_space_group_name_H-M_alt 'P 4/m m m'
_space_group_IT_number 123
_space_group_name_Hall '-P 4 2'
loop_
_atom_site_label
_atom_site_fract_x
_atom_site_fract_y
_atom_site_fract_z
Lu1 0.0000 0.0000 0.0000
Pa1 0.5000 0.5000 0.0000
Tl1 0.0000 0.5000 0.5000
```


No. 6
LuPaTl2 | GGA-PBE | relaxed

Properties
Total magnetic moment in μB/cell: 0.845
Relative energy among the computed polymorphs in eV/f.u.: 0.000
D(E_F) in states/eV/f.u.: 6.4
ΔH_f (0 K) in eV per atom: 0.00

Cell and atoms, written as CIF:
```
data_LuPaTl2
_chemical_formula_sum 'Lu1 Pa1 Tl2'
_cell_length_a 3.3734
_cell_length_b 3.3734
_cell_length_c 9.1127
_cell_angle_alpha 90.00
_cell_angle_beta 90.00
_cell_angle_gamma 90.00
_space_group_name_H-M_alt 'P 4/m m m'
_space_group_IT_number 123
_space_group_name_Hall '-P 4 2'
loop_
_atom_site_label
_atom_site_fract_x
_atom_site_fract_y
_atom_site_fract_z
Lu1 0.0000 0.0000 0.0000
Pa1 0.0000 0.0000 0.5000
Tl1 0.5000 0.5000 0.2417
```